1.
This record from Alexandria via LeMat-Bulk describes TmLuTcPt after structural relaxation. The functional is PBE-GGA.

Cell lengths 4.7884, 4.7884, 4.7884 Å; angles 60.00, 60.00, 60.00 degrees
Fractional coordinates of all 4 atoms:
1 Lu 0.5000 0.5000 0.5000
2 Tm 0.0000 0.0000 0.0000
3 Tc 0.7500 0.7500 0.7500
4 Pt 0.2500 0.2500 0.2500

## Properties
As for the theoretical density: 13.6 g cm⁻³. As for the crystal system: cubic. For the energy, the calculation gives -7.005 eV/atom.

***

2.
This record from Alexandria via LeMat-Bulk describes Ac2La5Tb5 after structural relaxation. The functional is PBE-GGA.

Cell lengths 5.2769, 8.2702, 11.1115 Å; angles 72.52, 76.26, 71.40 degrees
Fractional coordinates of all 12 atoms:
1 Ac 0.9173 0.4179 0.7475
2 Ac 0.0827 0.5821 0.2525
3 La 0.5000 0.5000 0.5000
4 La 0.3351 0.3309 0.9990
5 La 0.4119 0.9237 0.2524
6 La 0.5881 0.0763 0.7476
7 La 0.6649 0.6691 0.0010
8 Tb 0.8285 0.8417 0.5013
9 Tb 0.2483 0.7552 0.7483
10 Tb 0.7517 0.2448 0.2517
11 Tb 0.1715 0.1583 0.4987
12 Tb 0.0000 0.0000 0.0000

## Properties
As for the theoretical density: 7.5 g cm⁻³. As for the crystal system: monoclinic. For the energy, the calculation gives -4.633 eV/atom.

***

3.
This record from Alexandria via LeMat-Bulk describes TeIr after structural relaxation. The functional is PBE-GGA.

Cell lengths 4.1160, 4.1160, 5.6523 Å; angles 90.00, 90.00, 120.00 degrees
Fractional coordinates of all 4 atoms:
1 Ir 0.0000 0.0000 0.0000
2 Ir 0.0000 0.0000 0.5000
3 Te 0.3333 0.6667 0.2500
4 Te 0.6667 0.3333 0.7500

## Properties
As for the theoretical density: 12.8 g cm⁻³. Its formation energy from raw total energies is 0.0769 eV/atom. As for the crystal system: hexagonal. For the energy, the calculation gives -5.924 eV/atom.

***

4.
This record from Alexandria via LeMat-Bulk describes CoCuTc after structural relaxation. The functional is PBE-GGA.

Cell lengths 4.0919, 4.0919, 2.5253 Å; angles 90.00, 90.00, 120.00 degrees
Fractional coordinates of all 3 atoms:
1 Co 0.0000 0.0000 0.1622
2 Cu 0.6667 0.3333 0.1709
3 Tc 0.3333 0.6667 0.6668

## Properties
As for the theoretical density: 10.0 g cm⁻³. As for the crystal system: trigonal. For the energy, the calculation gives -7.018 eV/atom. For the offset from the most stable computed form, the calculation gives 5 meV/atom.

***

5.
This record from Alexandria via LeMat-Bulk describes LiTbRuRh after structural relaxation. The functional is PBE-GGA.

Cell lengths 4.5712, 4.5712, 4.5712 Å; angles 60.00, 60.00, 60.00 degrees
Each line ends with the local moment (μB).
Fractional coordinates of all 4 atoms:
1 Rh 0.0000 0.0000 0.0000  0.54
2 Li 0.7500 0.7500 0.7500  -0.02
3 Tb 0.5000 0.5000 0.5000  -0.03
4 Ru 0.2500 0.2500 0.2500  0.90

## Properties
As for the theoretical density: 9.1 g cm⁻³. As for the crystal system: cubic. For the energy, the calculation gives -5.863 eV/atom.

***

6.
This record from Alexandria via LeMat-Bulk describes HgSb3As after structural relaxation. The functional is PBE-GGA.

Cell lengths 5.4994, 5.4994, 5.4994 Å; angles 90.00, 90.00, 90.00 degrees
Fractional coordinates of all 5 atoms:
1 Sb 0.0000 0.5000 0.0000
2 Sb 0.0000 0.0000 0.5000
3 Sb 0.5000 0.0000 0.0000
4 As 0.5000 0.5000 0.5000
5 Hg 0.0000 0.0000 0.0000

## Properties
As for the theoretical density: 6.4 g cm⁻³. Its formation energy from raw total energies is 1.0352 eV/atom. As for the crystal system: cubic. For the energy, the calculation gives -2.429 eV/atom. For the offset from the most stable computed form, the calculation gives 424 meV/atom.

***

What is the theoretical density in the sixth record?
6.4 g cm⁻³

***

Among the records above, which one has the highest energy?
HgSb3As